Density functional theory data (PBE-GGA) for a geometry-optimized PrReS structure.

abc: 11.5527 3.9424 7.4572
angles: 90.00 127.29 90.00
Closest atoms and distances in Å follow each position.
Fractional positions:
Pr: 0.0590 0.0000 0.3077  3 S 2.81-2.88, 1 Re 3.08
Pr: 0.4410 0.5000 0.6923  3 S 2.81-2.88, 1 Re 3.08
Pr: 0.5590 0.5000 0.3077  3 S 2.81-2.88, 1 Re 3.08
Pr: 0.9410 0.0000 0.6923  3 S 2.81-2.88, 1 Re 3.08
Re: 0.2376 0.5000 0.8891  2 S 2.45, 2 Re 2.48
Re: 0.2624 0.0000 0.1109  2 S 2.45, 2 Re 2.48
Re: 0.7376 0.0000 0.8891  2 S 2.45, 2 Re 2.48
Re: 0.7624 0.5000 0.1109  2 S 2.45, 2 Re 2.48
S: 0.1934 0.5000 0.2226  2 Re 2.45
S: 0.3066 0.0000 0.7774  2 Re 2.45
S: 0.6934 0.0000 0.2226  2 Re 2.45
S: 0.8066 0.5000 0.7774  2 Re 2.45

Summary:
volume: 22.5 Å³/atom
symmetry: No. 12
raw formation energy: -449.0 meV per atom